PmGdErZn after structural relaxation. Source: the Alexandria database, functional PBE.

Lattice parameters (Å, degrees): 7.602 7.602 7.602 90.00 90.00 90.00
Space group F-43m (No. 216)
Asymmetric unit:
Pm 0.000 0.000 0.000
Gd 0.000 0.000 0.500
Er 0.250 0.250 0.750
Zn 0.250 0.250 0.250

Properties
E_form in eV/atom: 0.020
V in Å³ per cell: 439.3
E in eV/atom: -6.147
DOS(E_F) in states/eV per atom: 1.1692


Ce3ErOs3 after structural relaxation. Source: the Alexandria database, functional PBE.

Lattice parameters (Å, degrees): 10.924 9.419 6.698 90.00 107.43 90.00
Space group C2/m (No. 12)
Asymmetric unit:
Ce 0.000 0.190 0.000
Ce 0.000 0.269 0.500
Ce 0.196 0.500 0.990
Er 0.220 0.000 0.459
Os 0.057 0.000 0.727
Os 0.237 0.248 0.766

Properties
E_form in eV/atom: -0.157
V in Å³ per cell: 657.5
E in eV/atom: -8.165
DOS(E_F) in states/eV per atom: 1.0149


In2TeAs after structural relaxation. Source: the Alexandria database, functional PBE.

Lattice parameters (Å, degrees): 13.273 3.842 4.715 90.00 110.62 90.00
Space group C2/m (No. 12)
Asymmetric unit:
In 0.192 0.000 0.193
Te 0.000 0.000 0.500
As 0.000 0.500 0.000

Properties
V in Å³ per cell: 225.0
E in eV/atom: -3.273
DOS(E_F) in states/eV per atom: 0.4197
Polymorph energy (0 for the lowest one) in eV/atom: 0.2091


Q: Among the records above, which one has the highest V?
A: Ce3ErOs3